Record 1
## BaAl2Au2 (GGA-PBE)

Data for BaAl2Au2 after structural relaxation.

For the formation energy from the elements, the calculation gives -610 meV/atom. The crystal system is tetragonal.

The structure belongs to space group I4/mmm (No. 139); the cell edges are 4.5154, 4.5154 and 11.6611 Å and the angles 90.00°, 90.00° and 90.00°. The inequivalent atoms are Ba at (0.0000, 0.0000, 0.0000), Al at (0.0000, 0.5000, 0.2500) and Au at (0.0000, 0.0000, 0.3641).

=====

Record 2
## Ba2TlRh (GGA-PBE)

Data for Ba2TlRh after structural relaxation.

The offset from the most stable computed form comes out at 0.188 eV per atom. For the formation energy from the elements, the calculation gives -66 meV/atom. The crystal system is tetragonal.

The structure belongs to space group P4mm (No. 99); the cell edges are 3.8472, 3.8472 and 9.4862 Å and the angles 90.00°, 90.00° and 90.00°. The inequivalent atoms are Ba at (0.0000, 0.0000, 0.0000), Ba at (0.5000, 0.5000, 0.4219), Tl at (0.5000, 0.5000, 0.7666) and Rh at (0.0000, 0.0000, 0.6441).

=====

Record 3
## Tm8Ga3GeSe4 (GGA-PBE)

Data for Tm8Ga3GeSe4 after structural relaxation.

For the formation energy (no corrections), the calculation gives -1.164 eV/atom. The crystal system is trigonal.

The structure belongs to space group R-3m (No. 166, hexagonal axes); the cell edges are 7.8595, 7.8595 and 21.3320 Å and the angles 90.00°, 90.00° and 120.00°. The inequivalent atoms are Tm at (0.0000, 0.0000, 0.2490), Tm at (0.9998, 0.4999, 0.2503), Ga at (0.0000, 0.5000, 0.0000), Ge at (0.0000, 0.0000, 0.0000), Se at (0.0000, 0.0000, 0.5000) and Se at (0.0000, 0.5000, 0.5000).

=====

Record 4
## LaTaSb2 (GGA-PBE)

Data for LaTaSb2 after structural relaxation.

For the formation energy (no corrections), the calculation gives 0.242 eV/atom. The offset from the most stable computed form comes out at 0.645 eV per atom. The crystal system is cubic.

The structure belongs to space group F-43m (No. 216); the cell edges are 7.4007, 7.4007 and 7.4007 Å and the angles 90.00°, 90.00° and 90.00°. The inequivalent atoms are La at (0.0000, 0.0000, 0.0000), Ta at (0.2500, 0.2500, 0.2500), Sb at (0.0000, 0.0000, 0.5000) and Sb at (0.2500, 0.2500, 0.7500).

=====

Record 5
## Nd6HRu2Cl3 (GGA-PBE)

Data for Nd6HRu2Cl3 after structural relaxation.

The crystal system is monoclinic.

The structure belongs to space group C2/m (No. 12); the cell edges are 6.8588, 11.8904 and 7.9754 Å and the angles 90.00°, 106.84° and 90.00°. The inequivalent atoms are Nd at (0.2346, 0.1660, 0.2048), Nd at (0.2365, 0.5000, 0.2035), H at (0.0000, 0.0000, 0.0000), Ru at (0.0000, 0.3334, 0.0000), Cl at (0.0000, 0.1724, 0.5000) and Cl at (0.0000, 0.5000, 0.5000).

=====

Record 6
## LiCa3U3As8 (GGA-PBE)

Data for LiCa3U3As8 after structural relaxation.

For the formation energy from the elements, the calculation gives -678 meV/atom. The crystal system is trigonal.

The structure belongs to space group R-3m (No. 166, hexagonal axes); the cell edges are 8.2385, 8.2385 and 20.1520 Å and the angles 90.00°, 90.00° and 120.00°. The inequivalent atoms are Li at (0.0000, 0.0000, 0.0000), Ca at (0.0000, 0.5000, 0.5000), U at (0.0000, 0.5000, 0.0000), As at (0.0000, 0.0000, 0.2558) and As at (0.0179, 0.5090, 0.2581).

=====

Record 7
## Sn4HgTe5 (GGA-PBE)

Data for Sn4HgTe5 after structural relaxation.

For the formation energy (no corrections), the calculation gives -0.234 eV/atom. The crystal system is tetragonal.

The structure belongs to space group I4/mmm (No. 139); the cell edges are 4.4558, 4.4558 and 32.1910 Å and the angles 90.00°, 90.00° and 90.00°. The inequivalent atoms are Sn at (0.0000, 0.0000, 0.0986), Sn at (0.0000, 0.0000, 0.3016), Hg at (0.0000, 0.0000, 0.5000), Te at (0.0000, 0.0000, 0.0000), Te at (0.0000, 0.0000, 0.1991) and Te at (0.0000, 0.0000, 0.3976).

=====

Record 8
## CaLa8Nd5 (GGA-PBE)

Data for CaLa8Nd5 after structural relaxation.

For the formation energy from the elements, the calculation gives 211 meV/atom. The crystal system is tetragonal.

The structure belongs to space group I-4 (No. 82); the cell edges are 10.0135, 10.0135 and 10.5505 Å and the angles 90.00°, 90.00° and 90.00°. The inequivalent atoms are Ca at (0.0000, 0.0000, 0.0000), La at (0.0752, 0.8245, 0.3501), La at (0.0867, 0.6763, 0.0067), Nd at (0.0000, 0.5000, 0.2500) and Nd at (0.1065, 0.7053, 0.6789).

=====

Computed values of total energy (unit: eV per atom) for the preceding records, in sequence: -3.8021, -3.4567, -5.1274, -6.0146, -5.5884, -5.9436, -3.4362, -4.4505.